Entry 1:
Here is a crystal of YGaRh3 relaxed with PBEsol from Alexandria. Energies are from meta-GGA SCAN.

Results
Space group   Pm-3m (221)

a b c (Å): 4.498 4.498 4.498
angles (deg): 90.00 90.00 90.00
Positions (direct):
Y 0.000 0.000 0.000
Ga 0.500 0.500 0.500
Rh 0.000 0.500 0.500
Rh 0.500 0.000 0.500
Rh 0.500 0.500 0.000

=====

Entry 2:
Here is a crystal of Zn2GaRh2 relaxed with PBEsol from Alexandria. Energies are from meta-GGA SCAN.

Results
Space group   P4/mbm (127)
Energy above the most stable polymorph in this dataset   0 meV per atom

a b c (Å): 6.271 6.271 3.712
angles (deg): 90.00 90.00 90.00
Positions (direct):
Zn 0.151 0.349 0.000
Zn 0.349 0.849 0.000
Zn 0.651 0.151 0.000
Zn 0.849 0.651 0.000
Ga 0.000 0.000 0.500
Ga 0.500 0.500 0.500
Rh 0.149 0.649 0.500
Rh 0.351 0.149 0.500
Rh 0.649 0.851 0.500
Rh 0.851 0.351 0.500

=====

Entry 3:
Here is a crystal of Zn2GaRh2 relaxed with PBEsol from Alexandria. Energies are from meta-GGA SCAN.

Results
Space group   I4/mmm (139)
Energy above the most stable polymorph in this dataset   649 meV per atom

a b c (Å): 6.333 6.333 6.333
angles (deg): 146.08 146.08 48.72
Positions (direct):
Zn 0.102 0.102 0.000
Zn 0.898 0.898 0.000
Ga 0.500 0.500 0.000
Rh 0.250 0.750 0.500
Rh 0.750 0.250 0.500

=====

Entry 4:
Here is a crystal of ZrGa3Rh relaxed with PBEsol from Alexandria. Energies are from meta-GGA SCAN.

Results
Space group   Pm-3m (221)

a b c (Å): 4.938 4.938 4.938
angles (deg): 90.00 90.00 90.00
Positions (direct):
Zr 0.000 0.000 0.000
Ga 0.000 0.000 0.500
Ga 0.000 0.500 0.000
Ga 0.500 0.000 0.000
Rh 0.500 0.500 0.500

=====

Entry 5:
Here is a crystal of Zr6Ga16Rh7 relaxed with PBEsol from Alexandria. Energies are from meta-GGA SCAN.

Results
Space group   Fm-3m (225)

a b c (Å): 8.643 8.643 8.643
angles (deg): 60.00 60.00 60.00
Positions (direct):
Zr 0.197 0.197 0.803
Zr 0.197 0.803 0.197
Zr 0.197 0.803 0.803
Zr 0.803 0.197 0.197
Zr 0.803 0.197 0.803
Zr 0.803 0.803 0.197
Ga 0.133 0.622 0.622
Ga 0.156 0.156 0.156
Ga 0.156 0.156 0.531
Ga 0.156 0.531 0.156
Ga 0.378 0.378 0.378
Ga 0.378 0.378 0.867
Ga 0.378 0.867 0.378
Ga 0.469 0.844 0.844
Ga 0.531 0.156 0.156
Ga 0.622 0.133 0.622
Ga 0.622 0.622 0.133
Ga 0.622 0.622 0.622
Ga 0.844 0.469 0.844
Ga 0.844 0.844 0.469
Ga 0.844 0.844 0.844
Ga 0.867 0.378 0.378
Rh 0.000 0.000 0.500
Rh 0.000 0.500 0.000
Rh 0.000 0.500 0.500
Rh 0.500 0.000 0.000
Rh 0.500 0.000 0.500
Rh 0.500 0.500 0.000
Rh 0.500 0.500 0.500

=====

Entry 6:
Here is a crystal of GaRu relaxed with PBEsol from Alexandria. Energies are from meta-GGA SCAN.

Results
Space group   Pm-3m (221)

a b c (Å): 2.986 2.986 2.986
angles (deg): 90.00 90.00 90.00
Positions (direct):
Ga 0.000 0.000 0.000
Ru 0.500 0.500 0.500

=====

no.,size of the total moment (μB/atom),E_form (eV per atom)
1,0.002,-0.243
2,0.000,-0.465
3,0.000,0.184
4,0.280,1.131
5,0.000,-0.772
6,0.008,-0.320